Density functional theory data (PBE-GGA) for a relaxed BeV4Fe5 crystal.

Results
Size of the total moment ... 0.169 μB per atom
Final energy ... -8.427 eV/atom
Formation enthalpy at 0 K ... -175 meV per atom
Space group ... No. 123

Unit cell a=2.838 b=2.838 c=13.935 alpha=90.00 beta=90.00 gamma=90.00
Site moments in Bohr magnetons follow the coordinates.
Positions (direct):
Fe1 0.500 0.500 0.500  1.05
Fe2 0.500 0.500 0.291  0.72
Fe3 0.500 0.500 0.091  -0.04
Fe4 0.500 0.500 0.909  -0.04
Fe5 0.500 0.500 0.709  0.72
V1 0.000 0.000 0.395  -0.20
V2 0.000 0.000 0.816  -0.08
V3 0.000 0.000 0.605  -0.20
V4 0.000 0.000 0.184  -0.08
Be1 0.000 0.000 0.000  0.00